(1)
Here is a relaxed CePrNi3 crystal from the Alexandria database. Energies are from PBE.

space group	No. 11
DOS(E_F)	4.16	states/eV/f.u.
formation energy	-268	meV/atom

Unit cell a=5.3833 b=6.4505 c=5.4974 alpha=90.00 beta=101.62 gamma=90.00
Closest atoms and distances in Å follow each position.
Fractional coordinates of all 10 atoms:
Ce1 0.0803 0.2500 0.3261  3 Ni 2.59-2.60
Ce2 0.9197 0.7500 0.6739  3 Ni 2.59-2.60
Pr1 0.3398 0.7500 0.2717  8 Ni 2.84-3.14
Pr2 0.6602 0.2500 0.7283  8 Ni 2.84-3.14
Ni1 0.2081 0.0594 0.8536  3 Ni 2.46-2.59, 1 Ce 2.60
Ni2 0.2081 0.4406 0.8536  3 Ni 2.46-2.59, 1 Ce 2.60
Ni3 0.4793 0.7500 0.7974  4 Ni 2.53-2.59, 1 Ce 2.59
Ni4 0.5207 0.2500 0.2026  4 Ni 2.53-2.59, 1 Ce 2.59
Ni5 0.7919 0.5594 0.1464  3 Ni 2.46-2.59, 1 Ce 2.60
Ni6 0.7919 0.9406 0.1464  3 Ni 2.46-2.59, 1 Ce 2.60


(2)
Here is a relaxed HgAsPb3 crystal from the Alexandria database. Energies are from PBE.

space group	No. 221
energy above the most stable polymorph in this dataset	606.7	meV per atom
DOS(E_F)	2.54	states/eV/f.u.
formation energy	653	meV/atom

Unit cell a=5.6480 b=5.6480 c=5.6480 alpha=90.00 beta=90.00 gamma=90.00
Closest atoms and distances in Å follow each position.
Fractional coordinates of all 5 atoms:
Hg1 0.0000 0.0000 0.0000  6 Pb 2.82
As1 0.5000 0.5000 0.5000  12 Pb 3.99
Pb1 0.0000 0.0000 0.5000  2 Hg 2.82
Pb2 0.0000 0.5000 0.0000  2 Hg 2.82
Pb3 0.5000 0.0000 0.0000  2 Hg 2.82


(3)
Here is a relaxed ZnIr2PbW crystal from the Alexandria database. Energies are from PBE.

space group	No. 123
DOS(E_F)	4.81	states/eV/f.u.
formation energy	2385	meV/atom

Unit cell a=4.9687 b=4.9687 c=4.7581 alpha=90.00 beta=90.00 gamma=90.00
Closest atoms and distances in Å follow each position.
Fractional coordinates of all 5 atoms:
Zn1 0.0000 0.0000 0.0000  2 Pb 2.38
Ir1 0.0000 0.5000 0.5000  2 Pb 2.48
Ir2 0.5000 0.0000 0.5000  2 Pb 2.48
Pb1 0.0000 0.0000 0.5000  2 Zn 2.38, 4 Ir 2.48
W1 0.5000 0.5000 0.0000  8 Ir 3.44, 4 Zn 3.51


(4)
Here is a relaxed Tb8Mg crystal from the Alexandria database. Energies are from PBE.

space group	No. 139
energy above the most stable polymorph in this dataset	0.0	meV per atom
DOS(E_F)	13.54	states/eV/f.u.
formation energy	22	meV/atom

Unit cell a=7.8745 b=7.8745 c=7.8745 alpha=95.83 beta=95.83 gamma=142.83
Closest atoms and distances in Å follow each position.
Fractional coordinates of all 9 atoms:
Tb1 0.0000 0.3332 0.3332  1 Mg 3.52, 11 Tb 3.52-3.54
Tb2 0.0000 0.6668 0.6668  1 Mg 3.52, 11 Tb 3.52-3.54
Tb3 0.3332 0.0000 0.3332  1 Mg 3.52, 11 Tb 3.52-3.54
Tb4 0.3339 0.3339 0.6678  10 Tb 3.51-3.55, 2 Mg 3.53
Tb5 0.3339 0.6661 0.0000  10 Tb 3.51-3.55, 2 Mg 3.53
Tb6 0.6661 0.3339 0.0000  10 Tb 3.51-3.55, 2 Mg 3.53
Tb7 0.6661 0.6661 0.3322  10 Tb 3.51-3.55, 2 Mg 3.53
Tb8 0.6668 0.0000 0.6668  1 Mg 3.52, 11 Tb 3.52-3.54
Mg1 0.0000 0.0000 0.0000  12 Tb 3.52-3.53


(5)
Here is a relaxed KFeTeI2 crystal from the Alexandria database. Energies are from PBE.

space group	No. 123
energy above the most stable polymorph in this dataset	1048.9	meV per atom
DOS(E_F)	13.03	states/eV/f.u.

Unit cell a=6.4931 b=6.4931 c=6.4048 alpha=90.00 beta=90.00 gamma=90.00
Closest atoms and distances in Å follow each position.
Fractional coordinates of all 5 atoms:
K1 0.0000 0.0000 0.0000  2 Te 3.20, 4 I 3.25
Fe1 0.5000 0.5000 0.5000  8 I 4.56, 4 Te 4.59
Te1 0.0000 0.0000 0.5000  2 K 3.20
I1 0.0000 0.5000 0.0000  2 K 3.25
I2 0.5000 0.0000 0.0000  2 K 3.25


(6)
Here is a relaxed BaCdBr2 crystal from the Alexandria database. Energies are from PBE.

space group	No. 119
energy above the most stable polymorph in this dataset	155.2	meV per atom

Unit cell a=4.8690 b=4.8690 c=11.2459 alpha=90.00 beta=90.00 gamma=90.00
Closest atoms and distances in Å follow each position.
Fractional coordinates of all 8 atoms:
Ba1 0.0000 0.0000 0.0000  8 Br 3.44-3.72, 4 Cd 3.72
Ba2 0.5000 0.5000 0.5000  8 Br 3.44-3.72, 4 Cd 3.72
Cd1 0.0000 0.5000 0.2500  8 Br 3.44-3.72, 4 Ba 3.72
Cd2 0.5000 0.0000 0.7500  8 Br 3.44-3.72, 4 Ba 3.72
Br1 0.0000 0.0000 0.5000  4 Ba 3.44, 4 Cd 3.72, 4 Br 3.72
Br2 0.0000 0.5000 0.7500  4 Cd 3.44, 4 Ba 3.72, 4 Br 3.72
Br3 0.5000 0.0000 0.2500  4 Cd 3.44, 4 Ba 3.72, 4 Br 3.72
Br4 0.5000 0.5000 0.0000  4 Ba 3.44, 4 Cd 3.72, 4 Br 3.72